Here is a relaxed structure of BaLiLa2 from Alexandria via LeMat-Bulk. Energies are from GGA-PBE.

Summary:
**Calculated density**: 4.68 g/cm3
**D(E_F)**: 6.4 states/eV per cell
**Polymorph energy (0 for the lowest one)**: 3.26 kJ/mol of atoms
**Raw total energy**: -3.297 eV per atom
**Formation enthalpy at 0 K**: 0.1261 eV/atom
**Total magnetization**: 0.0 μB per formula unit

Cell: 7.3493 7.3493 6.0642 Å, 65.58 65.58 30.39°
Fractional coordinates of all 4 atoms:
La1 0.5283 0.5283 0.4714
La2 0.9717 0.9717 0.0286
Ba1 0.7500 0.7500 0.7500
Li1 0.2500 0.2500 0.2500